KLaN2F | PBE | optimized geometry

Output
Electronic total energy, eV per atom: -4.663
E_form (uncorrected), kJ/mol of atoms: 24
ρ, g/cm³: 4.49
Spin magnetization, μB/f.u.: 0.52
Symmetry: P4/mmm

Lattice parameters (Å, degrees): 4.3331 4.3331 4.4294 90.00 90.00 90.00
Sites, in units of the cell vectors:
K1 0.0000 0.0000 0.0000
La1 0.5000 0.5000 0.5000
N1 0.0000 0.5000 0.0000
N2 0.5000 0.0000 0.0000
F1 0.0000 0.0000 0.5000